# 1
VASP calculation (PBE) on crystalline KNi2 at its relaxed geometry.

Results
theoretical density: 4.84 g cm⁻³
energy: -3.20 eV per atom
ΔE_f: 1.0206 eV/atom
magnetization: 0.39 μB per atom

Cell: 4.771 4.771 2.723 Å, 90.00 90.00 120.00°
Element x y z (fractional)
K: 0.000 0.000 0.000
Ni: 0.333 0.667 0.500
Ni: 0.667 0.333 0.500

# 2
VASP calculation (PBE) on crystalline K2Ni at its relaxed geometry.

Results
energy above the lowest structure with this stoichiometry: 0.84 eV per formula unit
theoretical density: 1.85 g cm⁻³
energy: -2.00 eV per atom
ΔE_f: 0.6636 eV/atom
magnetization: 0.17 μB per atom

Cell: 8.372 8.372 8.372 Å, 152.72 152.72 38.96°
Element x y z (fractional)
K: 0.117 0.117 0.000
K: 0.883 0.883 0.000
Ni: 0.500 0.500 0.000